This record from Alexandria describes a relaxed SmY4Sc3 crystal. The functional is GGA-PBE.

Summary:
The density of states at the Fermi level comes out at 33.51 states/eV/cell. For the total magnetization, the calculation gives 0.514 μB/atom. The total energy comes out at -92.1 eV/cell. Its calculated formation energy is 0.439 eV per atom. The calculation puts the relative energy among the computed polymorphs at 253 meV per atom.

abc: 11.4620 12.8124 3.3178
angles: 90.00 90.00 90.00
Space group Cmmm (No. 65)
Unique sites:
Sm: 0.0000 0.0000 0.0000 [2 per cell]
Y: 0.0000 0.2607 0.0000 [4 per cell]
Y: 0.2395 0.5000 0.5000 [4 per cell]
Sc: 0.0000 0.5000 0.0000 [2 per cell]
Sc: 0.2500 0.2500 0.5000 [4 per cell]

This record from Alexandria describes a relaxed Sm3YSc crystal. The functional is GGA-PBE.

Summary:
The density of states at the Fermi level comes out at 30.27 states/eV/cell. For the total magnetization, the calculation gives 0.000 μB/atom. The total energy comes out at -104.8 eV/cell. Its calculated formation energy is 0.153 eV per atom. The calculation puts the relative energy among the computed polymorphs at 110 meV per atom.

abc: 3.5148 17.3755 10.6662
angles: 90.00 90.00 90.00
Space group Pbcm (No. 57)
Unique sites:
Sm: 0.2429 0.2500 0.0000 [4 per cell]
Sm: 0.2547 0.5768 0.0609 [8 per cell]
Y: 0.2391 0.1033 0.7500 [4 per cell]
Sc: 0.2602 0.7268 0.2500 [4 per cell]

This record from Alexandria describes a relaxed Sm2Y15Sc2 crystal. The functional is GGA-PBE.

Summary:
The density of states at the Fermi level comes out at 114.42 states/eV/cell. For the total magnetization, the calculation gives 0.126 μB/atom. The total energy comes out at -340.3 eV/cell. Its calculated formation energy is 0.295 eV per atom.

abc: 11.1851 11.1851 17.5816
angles: 90.00 90.00 120.00
Space group R-3m (No. 166, hexagonal axes)
Unique sites:
Sm: 0.0000 0.0000 0.1789 [6 per cell]
Y: 0.0000 0.2937 0.5000 [18 per cell]
Y: 0.0000 0.5000 0.0000 [9 per cell]
Y: 0.0089 0.5044 0.6373 [18 per cell]
Sc: 0.0000 0.0000 0.4096 [6 per cell]